## AlW2 (PBE-GGA)

Data for crystalline AlW2 at its relaxed geometry.

Raw total energy (eV per atom): -9.57
Space group: P6_3/mmc (194)

Cell: 5.2148 5.2148 16.8845 Å, 90.00 90.00 120.00°
Fractional coordinates of all 24 atoms:
Al  0.0000  0.0000  0.0948
Al  0.0000  0.0000  0.4052
Al  0.0000  0.0000  0.5948
Al  0.0000  0.0000  0.9052
Al  0.3333  0.6667  0.1254
Al  0.3333  0.6667  0.3746
Al  0.6667  0.3333  0.6254
Al  0.6667  0.3333  0.8746
W  0.0000  0.5000  0.0000
W  0.0000  0.5000  0.5000
W  0.1638  0.3277  0.2500
W  0.1638  0.8362  0.2500
W  0.3277  0.1638  0.7500
W  0.3333  0.6667  0.6588
W  0.3333  0.6667  0.8412
W  0.5000  0.0000  0.0000
W  0.5000  0.0000  0.5000
W  0.5000  0.5000  0.0000
W  0.5000  0.5000  0.5000
W  0.6667  0.3333  0.1588
W  0.6667  0.3333  0.3412
W  0.6723  0.8362  0.2500
W  0.8362  0.1638  0.7500
W  0.8362  0.6723  0.7500